[1]
Er4Ni3Ge: relaxed, GGA-PBE.

Cell and atoms, written as extended XYZ:
```
8
Lattice="3.8868 0.0000 0.0000 0.0000 4.0701 0.0000 0.0000 0.0000 10.2859" Properties=species:S:1:pos:R:3 pbc="T T T"
Er 0.0000 0.0000 0.0000
Er 0.0000 2.0350 2.8263
Er 1.9434 0.0000 5.0141
Er 1.9434 2.0350 7.9981
Ni 0.0000 2.0350 5.7377
Ni 1.9434 0.0000 2.0885
Ni 1.9434 2.0350 0.6586
Ge 0.0000 0.0000 7.2669
```

Properties
Density ... 9.37 Mg/m³
Density of states at the Fermi level ... 6.16 states/eV/cell
Formation energy ... -573 meV per atom

***

[2]
Ta2BiAsPb: relaxed, GGA-PBE.

Cell and atoms, written as extended XYZ:
```
5
Lattice="5.2883 0.0000 0.0000 0.0000 5.2883 0.0000 0.0000 0.0000 5.1707" Properties=species:S:1:pos:R:3 pbc="T T T"
Ta 0.0000 2.6441 0.0000
Ta 2.6441 0.0000 0.0000
Bi 0.0000 0.0000 2.5854
As 2.6441 2.6441 2.5854
Pb 2.6441 2.6441 0.0000
```

Properties
Density ... 9.80 Mg/m³
Density of states at the Fermi level ... 5.47 states/eV/cell
Formation energy ... 1932 meV per atom

***

[3]
KGeBr2Cl: relaxed, GGA-PBE.

Cell and atoms, written as extended XYZ:
```
5
Lattice="5.5564 0.0000 0.0000 0.0000 5.5564 0.0000 0.0000 0.0000 5.2328" Properties=species:S:1:pos:R:3 pbc="T T T"
K 0.0000 0.0000 0.0000
Ge 2.7782 2.7782 2.6164
Br 0.0000 2.7782 2.6164
Br 2.7782 0.0000 2.6164
Cl 2.7782 2.7782 0.0000
```

Properties
Energy above the most stable polymorph in this dataset ... 22 meV/atom
Density ... 3.16 Mg/m³
E_form (uncorrected) ... -105.8 kJ per mole of atoms

***

> Which of these has the highest density?

Ta2BiAsPb

***

> Which value of density does entry 3 give?

3.16 Mg/m³

***

> Which of these has the highest density?

Ta2BiAsPb